5
Lattice="-0.920 4.485 2.833 -5.181 -0.143 -1.455 -1.137 -2.975 4.341" Properties=species:S:1:pos:R:3 comment="La3TcGe, optimized geometry, DFT PBE" total_magnetization_mub_per_cell=0.00 e_tot_ev_per_atom=-6.096 formation_enthalpy_0k_kj_per_mol_fu=-69 space_group=Pm-3m polymorph_energy_mev_per_atom=150.6 mass_density_g_cm3=6.3 pbc="T T T"
Ge -3.619 0.683 2.859
Tc 0.000 0.000 0.000
La -2.591 -0.072 -0.728
La -0.568 -1.487 2.170
La -0.460 2.242 1.416